VASP calculation (GGA-PBE) on a relaxed Tb3Y4Al crystal.

Cell: 3.549 3.549 19.129 Å, 90.00 90.00 90.00°
Fractional positions:
1 Tb 0.000 0.000 0.000
2 Tb 0.000 0.000 0.265
3 Tb 0.000 0.000 0.735
4 Y 0.500 0.500 0.133
5 Y 0.500 0.500 0.401
6 Y 0.500 0.500 0.599
7 Y 0.500 0.500 0.867
8 Al 0.000 0.000 0.500

Properties
Crystal system: tetragonal

VASP calculation (GGA-PBE) on a relaxed SrAcLu crystal.

Cell: 3.875 3.875 9.484 Å, 90.00 90.00 120.00°
Fractional positions:
1 Sr 0.000 0.000 0.000
2 Ac 0.333 0.667 0.628
3 Lu 0.667 0.333 0.328

Properties
Energy relative to the lowest polymorph listed for this composition (meV per atom): 15.5
Crystal system: trigonal

no.,VASP energy (Ry per atom)
1,-0.40605
2,-0.24172